Compound: BeTlIn2
Source: the Alexandria database
Functional: PBE
Structure: relaxed

Computed properties:
* energy: -9.59 eV for the cell shown
* space group: F222

```
data_BeTlIn2
_cell_length_a 5.453
_cell_length_b 5.452
_cell_length_c 5.583
_cell_angle_alpha 130.34
_cell_angle_beta 130.34
_cell_angle_gamma 71.01
_symmetry_space_group_name_H-M 'P 1'
_symmetry_Int_Tables_number 1
_symmetry_space_group_name_Hall 'P 1'
loop_
_atom_site_label
_atom_site_type_symbol
_atom_site_fract_x
_atom_site_fract_y
_atom_site_fract_z
In1 In 0.000 0.000 0.000
Tl1 Tl 0.500 0.500 0.000
Be1 Be 0.750 0.250 0.500
In2 In 0.250 0.750 0.500
```



Compound: HfCrSb2Te
Source: the Alexandria database
Functional: PBE
Structure: relaxed

Computed properties:
* energy: -27.83 eV for the cell shown
* space group: P4/mmm
* E_form (uncorrected): 0.63 eV per atom

```
data_HfCrSb2Te
_cell_length_a 4.993
_cell_length_b 4.993
_cell_length_c 5.308
_cell_angle_alpha 90.00
_cell_angle_beta 90.00
_cell_angle_gamma 90.00
_symmetry_space_group_name_H-M 'P 1'
_symmetry_Int_Tables_number 1
_symmetry_space_group_name_Hall 'P 1'
loop_
_atom_site_label
_atom_site_type_symbol
_atom_site_fract_x
_atom_site_fract_y
_atom_site_fract_z
Sb1 Sb 0.500 0.000 0.000
Te1 Te 0.000 0.000 0.500
Hf1 Hf 0.500 0.500 0.500
Sb2 Sb 0.000 0.500 0.000
Cr1 Cr 0.000 0.000 0.000
```



Compound: La3TcBr2O6
Source: the Alexandria database
Functional: PBE
Structure: relaxed

Computed properties:
* energy: -84.00 eV for the cell shown
* space group: C2/m
* E_form (uncorrected): -2.15 eV per atom

```
data_La3TcBr2O6
_cell_length_a 5.988
_cell_length_b 6.832
_cell_length_c 6.842
_cell_angle_alpha 119.95
_cell_angle_beta 81.09
_cell_angle_gamma 90.00
_symmetry_space_group_name_H-M 'P 1'
_symmetry_Int_Tables_number 1
_symmetry_space_group_name_Hall 'P 1'
loop_
_atom_site_label
_atom_site_type_symbol
_atom_site_fract_x
_atom_site_fract_y
_atom_site_fract_z
O1 O 0.346 0.158 0.317
Br1 Br 0.106 0.729 0.458
O2 O 0.690 0.824 0.110
O3 O 0.310 0.714 0.890
La1 La 0.500 0.000 0.500
O4 O 0.654 0.842 0.683
Tc1 Tc 0.500 0.000 0.000
Br2 Br 0.894 0.271 0.542
La2 La 0.500 0.500 0.500
O5 O 0.310 0.176 0.890
O6 O 0.690 0.286 0.110
La3 La 0.000 0.500 0.000
```



Compound: AcCuIO6
Source: the Alexandria database
Functional: PBE
Structure: relaxed

Computed properties:
* energy: -51.14 eV for the cell shown
* space group: P312
* E_form (uncorrected): -1.29 eV per atom

```
data_AcCuIO6
_cell_length_a 5.323
_cell_length_b 5.329
_cell_length_c 5.329
_cell_angle_alpha 120.00
_cell_angle_beta 90.00
_cell_angle_gamma 90.00
_symmetry_space_group_name_H-M 'P 1'
_symmetry_Int_Tables_number 1
_symmetry_space_group_name_Hall 'P 1'
loop_
_atom_site_label
_atom_site_type_symbol
_atom_site_fract_x
_atom_site_fract_y
_atom_site_fract_z
O1 O 0.294 0.721 0.026
Ac1 Ac 0.000 0.333 0.667
O2 O 0.706 0.974 0.279
O3 O 0.706 0.721 0.694
O4 O 0.294 0.306 0.279
O5 O 0.706 0.306 0.026
O6 O 0.294 0.974 0.694
Cu1 Cu 0.500 0.667 0.333
I1 I 0.500 0.000 0.000
```



Compound: Er3Zn2Ag3
Source: the Alexandria database
Functional: PBE
Structure: relaxed

Computed properties:
* energy: -26.95 eV for the cell shown
* space group: P-62m

```
data_Er3Zn2Ag3
_cell_length_a 3.828
_cell_length_b 7.254
_cell_length_c 7.254
_cell_angle_alpha 120.00
_cell_angle_beta 90.00
_cell_angle_gamma 90.00
_symmetry_space_group_name_H-M 'P 1'
_symmetry_Int_Tables_number 1
_symmetry_space_group_name_Hall 'P 1'
loop_
_atom_site_label
_atom_site_type_symbol
_atom_site_fract_x
_atom_site_fract_y
_atom_site_fract_z
Er1 Er 0.500 0.000 0.612
Ag1 Ag 0.000 0.240 0.000
Zn1 Zn 0.000 0.667 0.333
Ag2 Ag 0.000 0.000 0.240
Er2 Er 0.500 0.612 0.000
Zn2 Zn 0.000 0.333 0.667
Ag3 Ag 0.000 0.760 0.760
Er3 Er 0.500 0.388 0.388
```



Compound: CrAgOs2
Source: the Alexandria database
Functional: PBE
Structure: relaxed

Computed properties:
* energy: -33.11 eV for the cell shown
* space group: P4mm

```
data_CrAgOs2
_cell_length_a 2.726
_cell_length_b 2.726
_cell_length_c 7.932
_cell_angle_alpha 90.00
_cell_angle_beta 90.00
_cell_angle_gamma 90.00
_symmetry_space_group_name_H-M 'P 1'
_symmetry_Int_Tables_number 1
_symmetry_space_group_name_Hall 'P 1'
loop_
_atom_site_label
_atom_site_type_symbol
_atom_site_fract_x
_atom_site_fract_y
_atom_site_fract_z
Os1 Os 0.000 0.000 0.999
Os2 Os 0.500 0.500 0.228
Cr1 Cr 0.500 0.500 0.766
Ag1 Ag 0.000 0.000 0.506
```



> Look up the energy of the third one.

-84.00 eV for the cell shown



> energy of number 6 (CrAgOs2)?

-33.11 eV for the cell shown



> The highest energy belongs to which entry?

BeTlIn2